Below is a relaxed Na2NbBi2 crystal, with properties calculated at the PBE-GGA level.

Computed properties:
The calculation puts the density of states at the Fermi level at 2.6 states/eV/f.u. The value obtained for the energy of formation is 158 meV per atom. The calculated total energy comes out at -3.936 eV/atom. The space group is No. 127. For the offset from the most stable computed form, the calculation gives 0.000 eV per atom.

```
Na2NbBi2
1.0
7.608 0.000 0.000
0.000 7.608 0.000
0.000 0.000 5.166
Na Nb Bi
4 2 4
Direct
0.166 0.334 0.000
0.334 0.834 0.000
0.666 0.166 0.000
0.834 0.666 0.000
0.000 0.000 0.500
0.500 0.500 0.500
0.149 0.649 0.500
0.351 0.149 0.500
0.649 0.851 0.500
0.851 0.351 0.500
```

=====

Below is a relaxed Na2NbBi crystal, with properties calculated at the PBE-GGA level.

Computed properties:
The calculation puts the density of states at the Fermi level at 3.9 states/eV/f.u. The value obtained for the energy of formation is 698 meV per atom. The calculated total energy comes out at -3.449 eV/atom. The space group is No. 122.

```
Na2NbBi
1.0
-4.493 4.493 2.864
4.493 -4.493 2.864
4.493 4.493 -2.864
Na Nb Bi
4 2 2
Direct
0.115 0.625 0.990
0.375 0.365 0.490
0.635 0.125 0.010
0.875 0.885 0.510
0.250 0.750 0.500
0.500 0.500 0.000
0.000 0.000 0.000
0.750 0.250 0.500
```

=====

Below is a relaxed NaNbBi crystal, with properties calculated at the PBE-GGA level.

Computed properties:
The calculation puts the density of states at the Fermi level at 2.4 states/eV/f.u. The value obtained for the energy of formation is -53 meV per atom. The calculated total energy comes out at -5.143 eV/atom. The space group is No. 139.

```
NaNbBi
1.0
-1.792 1.792 12.922
1.792 -1.792 12.922
1.792 1.792 -12.922
Na Nb Bi
2 2 2
Direct
0.067 0.067 0.000
0.933 0.933 0.000
0.224 0.224 0.000
0.776 0.776 0.000
0.344 0.344 0.000
0.656 0.656 0.000
```

=====

Below is a relaxed NaNbBi3 crystal, with properties calculated at the PBE-GGA level.

Computed properties:
The calculation puts the density of states at the Fermi level at 3.2 states/eV/f.u. The value obtained for the energy of formation is 209 meV per atom. The calculated total energy comes out at -4.397 eV/atom. The space group is No. 221. For the offset from the most stable computed form, the calculation gives 0.000 eV per atom.

```
NaNbBi3
1.0
5.574 0.000 0.000
0.000 5.574 0.000
0.000 0.000 5.574
Na Nb Bi
1 1 3
Direct
0.000 0.000 0.000
0.500 0.500 0.500
0.000 0.500 0.500
0.500 0.000 0.500
0.500 0.500 0.000
```

=====

Below is a relaxed NaNb2Bi2 crystal, with properties calculated at the PBE-GGA level.

Computed properties:
The calculation puts the density of states at the Fermi level at 4.5 states/eV/f.u. The value obtained for the energy of formation is 91 meV per atom. The calculated total energy comes out at -5.753 eV/atom. The space group is No. 139.

```
NaNb2Bi2
1.0
-1.938 1.938 8.964
1.938 -1.938 8.964
1.938 1.938 -8.964
Na Nb Bi
1 2 2
Direct
0.000 0.000 0.000
0.250 0.750 0.500
0.750 0.250 0.500
0.380 0.380 0.000
0.620 0.620 0.000
```

=====

Below is a relaxed Na3Nb6Bi5O24 crystal, with properties calculated at the PBE-GGA level.

Computed properties:
The calculation puts the density of states at the Fermi level at 0.0 states/eV/f.u. The calculated total energy comes out at -7.435 eV/atom. The space group is No. 1. The formation energy from raw total energies is -2.099 eV per atom.

```
Na3Nb6Bi5O24
1.0
5.557 0.000 0.000
0.074 5.636 0.000
0.035 2.711 16.748
Na Nb Bi O
3 6 5 24
Direct
0.000 0.000 0.000
0.008 0.875 0.257
0.494 0.503 0.002
0.002 0.290 0.381
0.004 0.405 0.132
0.502 0.047 0.889
0.505 0.911 0.129
0.506 0.796 0.382
0.995 0.546 0.888
0.024 0.792 0.560
0.463 0.293 0.559
0.516 0.399 0.257
0.525 0.721 0.712
0.965 0.219 0.711
0.058 0.453 0.021
0.073 0.218 0.492
0.205 0.652 0.159
0.206 0.556 0.351
0.213 0.246 0.887
0.229 0.473 0.637
0.258 0.974 0.636
0.268 0.749 0.883
0.282 0.061 0.353
0.283 0.157 0.157
0.412 0.703 0.491
0.424 0.938 0.020
0.569 0.793 0.257
0.572 0.076 0.779
0.685 0.577 0.128
0.689 0.459 0.385
0.719 0.275 0.918
0.730 0.476 0.633
0.758 0.975 0.635
0.762 0.774 0.918
0.788 0.965 0.394
0.790 0.090 0.119
0.912 0.299 0.256
0.913 0.572 0.779
```

=====

Below is a relaxed Na2NbBiO6 crystal, with properties calculated at the PBE-GGA level.

Computed properties:
The calculated total energy comes out at -6.368 eV/atom. The space group is No. 146. The formation energy from raw total energies is -1.735 eV per atom.

```
Na2NbBiO6
1.0
2.832 1.635 4.710
-2.832 1.635 4.710
0.000 -3.270 4.710
Na Nb Bi O
2 1 1 6
Direct
0.000 0.000 0.000
0.497 0.497 0.497
0.234 0.234 0.234
0.734 0.734 0.734
0.078 0.899 0.462
0.387 0.558 0.980
0.462 0.078 0.899
0.558 0.980 0.387
0.899 0.462 0.078
0.980 0.387 0.558
```

=====

Below is a relaxed NaNb4Bi5O18 crystal, with properties calculated at the PBE-GGA level.

Computed properties:
The calculation puts the density of states at the Fermi level at 0.0 states/eV/f.u. The calculated total energy comes out at -7.351 eV/atom. The space group is No. 8. The formation energy from raw total energies is -1.985 eV per atom.

```
NaNb4Bi5O18
1.0
2.779 -12.680 0.000
2.779 12.680 0.000
-0.061 0.000 5.645
Na Nb Bi O
1 4 5 18
Direct
0.000 0.000 0.000
0.092 0.928 0.474
0.421 0.587 0.981
0.587 0.421 0.981
0.928 0.092 0.474
0.187 0.787 0.065
0.349 0.748 0.564
0.500 0.500 0.525
0.748 0.349 0.564
0.787 0.187 0.065
0.003 0.502 0.282
0.033 0.530 0.783
0.090 0.781 0.454
0.100 0.100 0.420
0.129 0.312 0.155
0.233 0.403 0.647
0.312 0.129 0.155
0.403 0.233 0.647
0.437 0.437 0.918
0.445 0.754 0.941
0.502 0.003 0.282
0.530 0.033 0.783
0.662 0.790 0.232
0.739 0.863 0.724
0.754 0.445 0.941
0.781 0.090 0.454
0.790 0.662 0.232
0.863 0.739 0.724
```

=====

Below is a relaxed Na2NbBiPb crystal, with properties calculated at the PBE-GGA level.

Computed properties:
The calculation puts the density of states at the Fermi level at 6.3 states/eV/f.u. The value obtained for the energy of formation is 818 meV per atom. The calculated total energy comes out at -3.241 eV/atom. The space group is No. 123.

```
Na2NbBiPb
1.0
5.433 0.000 0.000
0.000 5.433 0.000
0.000 0.000 5.425
Na Nb Bi Pb
2 1 1 1
Direct
0.000 0.500 0.000
0.500 0.000 0.000
0.000 0.000 0.500
0.500 0.500 0.500
0.000 0.000 0.000
```

=====

Below is a relaxed Na3NbBi3Se8 crystal, with properties calculated at the PBE-GGA level.

Computed properties:
The calculation puts the density of states at the Fermi level at 2.4 states/eV/f.u. The calculated total energy comes out at -4.275 eV/atom. The space group is No. 166. The formation energy from raw total energies is -0.705 eV per atom.

```
Na3NbBi3Se8
1.0
4.170 2.408 7.125
-4.170 2.408 7.125
0.000 -4.815 7.125
Na Nb Bi Se
3 1 3 8
Direct
0.000 0.500 0.500
0.500 0.000 0.500
0.500 0.500 0.000
0.500 0.500 0.500
0.000 0.000 0.500
0.000 0.500 0.000
0.500 0.000 0.000
0.248 0.248 0.248
0.268 0.723 0.723
0.277 0.277 0.732
0.277 0.732 0.277
0.723 0.268 0.723
0.723 0.723 0.268
0.732 0.277 0.277
0.752 0.752 0.752
```

=====

Below is a relaxed NaTiNb2Bi crystal, with properties calculated at the PBE-GGA level.

Computed properties:
The calculation puts the density of states at the Fermi level at 0.2 states/eV/f.u. The value obtained for the energy of formation is 1626 meV per atom. The calculated total energy comes out at -5.021 eV/atom. The space group is No. 123.

```
NaTiNb2Bi
1.0
4.811 0.000 0.000
0.000 4.811 0.000
0.000 0.000 4.622
Na Ti Nb Bi
1 1 2 1
Direct
0.000 0.000 0.000
0.000 0.000 0.500
0.000 0.500 0.000
0.500 0.000 0.000
0.500 0.500 0.500
```

=====

Below is a relaxed Na2NbZnBi crystal, with properties calculated at the PBE-GGA level.

Computed properties:
The calculation puts the density of states at the Fermi level at 4.6 states/eV/f.u. The value obtained for the energy of formation is 651 meV per atom. The calculated total energy comes out at -2.921 eV/atom. The space group is No. 123.

```
Na2NbZnBi
1.0
5.004 0.000 0.000
0.000 5.004 0.000
0.000 0.000 5.202
Na Nb Zn Bi
2 1 1 1
Direct
0.000 0.500 0.000
0.500 0.000 0.000
0.000 0.000 0.500
0.000 0.000 0.000
0.500 0.500 0.500
```